1.
# La2ZrP

A PBEsol-optimized structure of La2ZrP (meta-GGA SCAN, Alexandria).

Output
Spin magnetization ... 0.0 μB/f.u.
ρ ... 7.0 g/cm³
Energy of formation from the pure elements ... -1.678 eV/f.u.

POSCAR file:
```
La2ZrP
1.0
3.6738 0.0000 0.0000
0.0000 5.2105 -0.0049
0.0000 -1.6884 4.9294
La P Zr
2 1 1
Cartesian
0.0000 -0.8442 2.4647
0.0000 2.6053 -0.0024
1.8369 1.7611 2.4623
1.8369 0.0000 0.0000
```

***

2.
# LaZrP2

A PBEsol-optimized structure of LaZrP2 (meta-GGA SCAN, Alexandria).

Output
Spin magnetization ... 0.0 μB/f.u.
ρ ... 5.6 g/cm³
Energy of formation from the pure elements ... -5.181 eV/f.u.

POSCAR file:
```
LaZrP2
1.0
-0.6614 2.7879 -2.0321
0.7666 -1.9825 -2.9694
-6.5735 -2.2687 2.0631
La P Zr
1 2 1
Cartesian
-2.2866 -1.7553 -1.6639
-0.3611 -0.1033 -0.0242
-4.4101 0.2266 -1.2899
-5.9313 -1.6973 -0.3981
```

***

3.
# La2ZrP

A PBEsol-optimized structure of La2ZrP (meta-GGA SCAN, Alexandria).

Output
Spin magnetization ... 0.0 μB/f.u.
ρ ... 6.4 g/cm³
Energy of formation from the pure elements ... -2.399 eV/f.u.

POSCAR file:
```
La2ZrP
1.0
-3.5691 0.6312 0.0080
-0.2346 -1.2613 -5.1438
0.9966 -4.8204 3.8684
La P Zr
2 1 1
Cartesian
-2.7886 -5.3456 -1.2939
-2.3370 -2.8187 0.7978
-1.9346 -0.5009 -2.5208
-0.4558 -2.5509 -2.0856
```

***

4.
# La3Pb

A PBEsol-optimized structure of La3Pb (meta-GGA SCAN, Alexandria).

Output
Spin magnetization ... 0.0 μB/f.u.
ρ ... 8.3 g/cm³
Energy of formation from the pure elements ... -1.719 eV/f.u.

POSCAR file:
```
La3Pb
1.0
3.5778 0.0000 0.0000
0.0000 5.9941 0.0448
-1.7889 -0.8325 5.7923
Pb La
1 3
Cartesian
0.0000 0.0000 0.0000
1.7889 2.9971 0.0224
1.7889 0.9852 2.7595
0.0000 4.1764 3.0776
```

***

5.
# La3Pb

A PBEsol-optimized structure of La3Pb (meta-GGA SCAN, Alexandria).

Output
Spin magnetization ... 0.0 μB/f.u.
ρ ... 7.7 g/cm³
Energy of formation from the pure elements ... -2.054 eV/f.u.

POSCAR file:
```
La3Pb
1.0
-0.5035 2.9090 5.8075
-2.9698 -6.6523 3.0746
9.6083 -3.1705 2.4211
La Pb
12 4
Cartesian
7.0690 -2.1527 2.6552
0.6698 -2.1219 5.7391
5.4652 -4.7919 5.5641
-0.9340 -4.7611 8.6480
8.3551 -2.6362 6.3951
-0.5794 -1.8518 1.5735
2.6406 -3.7178 8.7032
1.8537 -5.6219 5.9346
-2.2201 -4.2776 4.9081
6.7144 -5.0620 9.7297
3.4944 -3.1960 2.6000
4.2813 -1.2919 5.3686
4.2453 -6.5180 8.1450
0.5384 -4.4934 3.1554
5.5967 -2.4204 8.1479
1.8897 -0.3958 3.1582
```

***

6.
# La7Pb

A PBEsol-optimized structure of La7Pb (meta-GGA SCAN, Alexandria).

Output
Spin magnetization ... 0.0 μB/f.u.
ρ ... 7.7 g/cm³
Energy of formation from the pure elements ... -1.808 eV/f.u.

POSCAR file:
```
La7Pb
1.0
-2.8295 -5.7576 -3.0740
4.2240 -5.2371 -2.3101
0.0940 -6.2521 3.3924
La Pb
7 1
Cartesian
0.0470 -3.1260 1.6962
2.1120 -2.6185 -1.1551
-1.4147 -2.8788 -1.5370
0.6973 -5.4974 -2.6921
-1.3677 -6.0049 0.1592
2.1590 -5.7446 0.5411
0.7443 -8.6234 -0.9959
0.0000 0.0000 0.0000
```

***

7.
# La3Pb

A PBEsol-optimized structure of La3Pb (meta-GGA SCAN, Alexandria).

Output
Spin magnetization ... 0.0 μB/f.u.
ρ ... 8.3 g/cm³
Energy of formation from the pure elements ... -1.708 eV/f.u.

POSCAR file:
```
La3Pb
1.0
3.6173 0.0000 0.0000
0.0000 5.6673 0.0000
0.0000 0.0000 6.0673
Pb La
1 3
Cartesian
0.0000 2.8337 2.0898
0.0000 0.0000 0.0470
1.8087 0.0000 2.7908
1.8087 2.8337 5.1845
```

***

8.
# La3Pb

A PBEsol-optimized structure of La3Pb (meta-GGA SCAN, Alexandria).

Output
Spin magnetization ... 1.1 μB/f.u.
ρ ... 8.1 g/cm³
Energy of formation from the pure elements ... -1.889 eV/f.u.

POSCAR file:
```
La3Pb
1.0
-5.9092 1.3959 1.8525
-1.3121 -6.1924 0.4808
1.9128 0.0647 6.0528
La Pb
6 2
Cartesian
-5.0880 -2.0493 1.6298
-2.1333 -2.7472 0.7035
-0.0277 -4.6120 3.3870
0.6284 -1.5158 3.1466
-2.4764 0.7141 2.4394
-1.5200 0.7465 5.4658
0.0000 0.0000 0.0000
-2.6543 -2.3659 4.1930
```

***

9.
# La3Pb

A PBEsol-optimized structure of La3Pb (meta-GGA SCAN, Alexandria).

Output
Spin magnetization ... 0.0 μB/f.u.
ρ ... 8.1 g/cm³
Energy of formation from the pure elements ... -1.382 eV/f.u.

POSCAR file:
```
La3Pb
1.0
-0.6188 2.2762 -2.7542
0.1121 -2.7814 -2.3239
-9.6135 -1.2968 1.0882
La Pb
3 1
Cartesian
-7.3646 -0.9935 0.8337
-5.0601 -0.9010 -1.9949
-2.2489 -0.3034 0.2546
-0.2533 -0.2526 -2.5391
```

***

10.
# La3Pb

A PBEsol-optimized structure of La3Pb (meta-GGA SCAN, Alexandria).

Output
Spin magnetization ... 0.7 μB/f.u.
ρ ... 8.3 g/cm³
Energy of formation from the pure elements ... -1.719 eV/f.u.

POSCAR file:
```
La3Pb
1.0
-0.8496 -3.0904 -1.7639
4.4911 -1.3927 0.2770
-1.3918 -3.2294 6.3284
Pb La
1 3
Cartesian
0.0000 0.0000 0.0000
0.7490 -4.7284 4.1297
-0.6959 -1.6147 3.1642
1.5007 -2.9842 0.7118
```

***

11.
# La3Pb

A PBEsol-optimized structure of La3Pb (meta-GGA SCAN, Alexandria).

Output
Spin magnetization ... 0.1 μB/f.u.
ρ ... 8.4 g/cm³
Energy of formation from the pure elements ... -2.030 eV/f.u.

POSCAR file:
```
La3Pb
1.0
-0.5730 -3.8950 2.9315
-0.1960 -2.9309 -3.9325
5.4655 2.8120 0.6952
Pb La
1 3
Cartesian
0.0000 0.0000 0.0000
2.2540 -2.2480 1.5631
-0.3845 -3.4129 -0.5005
2.4425 -1.7659 -1.8689
```

***

12.
# La2Pb

A PBEsol-optimized structure of La2Pb (meta-GGA SCAN, Alexandria).

Output
Spin magnetization ... 0.0 μB/f.u.
ρ ... 9.3 g/cm³
Energy of formation from the pure elements ... -1.083 eV/f.u.

POSCAR file:
```
La2Pb
1.0
-1.5146 1.4532 2.6591
-3.5621 -4.1077 0.2159
4.6535 -0.2840 2.8057
La Pb
2 1
Cartesian
-1.5809 -2.1065 2.4087
1.1577 -0.8320 3.2720
0.0000 0.0000 0.0000
```

***

13.
# La3Pb

A PBEsol-optimized structure of La3Pb (meta-GGA SCAN, Alexandria).

Output
Spin magnetization ... 0.0 μB/f.u.
ρ ... 8.2 g/cm³
Energy of formation from the pure elements ... -1.879 eV/f.u.

POSCAR file:
```
La3Pb
1.0
-1.1820 3.1580 -1.4887
-2.1992 -3.0565 -4.7375
-3.2409 -0.6386 5.7817
Pb La
1 3
Cartesian
-0.6948 -0.9656 -1.4967
-3.9581 -0.2183 -1.8835
-2.6622 -0.3161 1.4432
-2.4639 -1.0240 -4.7789
```

***

14.
# LaPb

A PBEsol-optimized structure of LaPb (meta-GGA SCAN, Alexandria).

Output
Spin magnetization ... 0.4 μB/f.u.
ρ ... 9.5 g/cm³
Energy of formation from the pure elements ... -1.657 eV/f.u.

POSCAR file:
```
LaPb
1.0
-3.1653 -0.1650 -1.1182
1.2485 -5.1599 -2.7729
-1.5805 -3.0268 4.9207
Pb La
2 2
Cartesian
0.0000 0.0000 0.0000
-0.1660 -4.0934 1.0739
-2.3784 -1.5962 1.8993
-0.9529 -2.6622 -1.9436
```

***

15.
# La4Pb3

A PBEsol-optimized structure of La4Pb3 (meta-GGA SCAN, Alexandria).

Output
Spin magnetization ... 0.0 μB/f.u.
ρ ... 8.4 g/cm³
Energy of formation from the pure elements ... -6.639 eV/f.u.

POSCAR file:
```
La4Pb3
1.0
8.4398 0.0000 0.0000
-2.8133 7.9571 0.0000
-2.8133 -3.9786 6.8911
La Pb
8 6
Cartesian
-2.4147 2.5530 2.4691
7.2440 0.0000 0.0000
0.3986 4.8404 3.4455
3.2119 4.5423 0.9764
-3.8213 0.5637 5.9147
3.0241 0.0000 0.0000
-1.0080 -1.4256 4.4219
1.8052 0.8618 3.4455
-2.1100 5.9678 1.7228
-0.7033 1.9893 5.1683
0.7033 2.4866 0.8614
4.9232 -0.4973 2.5842
2.1100 -1.4920 6.0297
3.5166 3.4812 4.3069
```

***

16.
# LaPb7

A PBEsol-optimized structure of LaPb7 (meta-GGA SCAN, Alexandria).

Output
Spin magnetization ... 0.0 μB/f.u.
ρ ... 11.2 g/cm³
Energy of formation from the pure elements ... -2.178 eV/f.u.

POSCAR file:
```
LaPb7
1.0
6.9266 0.0000 0.0000
3.4633 5.9986 0.0000
3.4633 1.9995 5.6556
La Pb
1 7
Cartesian
0.0000 0.0000 0.0000
1.7317 0.9998 2.8278
1.7317 2.9993 0.0000
3.4633 0.0000 0.0000
5.1950 2.9993 0.0000
5.1950 0.9998 2.8278
3.4633 3.9991 2.8278
6.9266 3.9991 2.8278
```

***

17.
# LaPb

A PBEsol-optimized structure of LaPb (meta-GGA SCAN, Alexandria).

Output
Spin magnetization ... 0.1 μB/f.u.
ρ ... 9.3 g/cm³
Energy of formation from the pure elements ... -1.739 eV/f.u.

POSCAR file:
```
LaPb
1.0
-1.2684 6.5955 -0.2649
-8.1455 -1.3338 5.7921
6.1351 1.5406 8.9827
La Pb
12 12
Cartesian
-6.8939 4.0758 6.5731
3.6152 2.7266 7.9368
0.9729 5.6955 9.2322
-4.2517 1.1069 5.2776
-2.3490 4.9277 6.0206
-0.9298 1.8747 8.4893
-5.0911 4.5949 10.8649
1.8123 2.2075 3.6450
-1.3876 -0.1705 2.3978
-1.2569 3.6752 12.2445
-0.6227 0.3774 12.3769
-2.0218 3.1272 2.2654
-4.8817 4.3542 3.8683
1.6029 2.4482 10.6416
4.1565 6.2680 8.2424
-7.4353 0.5344 6.2675
0.0812 5.3018 3.7001
-3.3600 1.5006 10.8098
-2.1161 5.1059 9.3419
-1.1626 1.6965 5.1679
1.5026 0.5552 6.6295
-4.1471 2.9494 8.0128
-3.5129 -0.3484 8.1452
0.8684 3.8530 6.4971
```

***

18.
# LaPb8

A PBEsol-optimized structure of LaPb8 (meta-GGA SCAN, Alexandria).

Output
Spin magnetization ... 0.0 μB/f.u.
ρ ... 11.2 g/cm³
Energy of formation from the pure elements ... -1.497 eV/f.u.

POSCAR file:
```
LaPb8
1.0
5.0298 0.0000 0.0000
2.5149 7.2742 0.0000
2.5149 0.0000 7.2742
La Pb
1 8
Cartesian
0.0000 0.0000 0.0000
2.5149 0.0000 2.4349
5.0298 0.0000 4.8392
5.0298 2.4380 2.4380
2.5149 2.4349 0.0000
2.5149 2.4380 4.8362
5.0298 4.8392 0.0000
5.0298 4.8362 4.8362
2.5149 4.8362 2.4380
```

***

19.
# LaPb2

A PBEsol-optimized structure of LaPb2 (meta-GGA SCAN, Alexandria).

Output
Spin magnetization ... 0.0 μB/f.u.
ρ ... 10.1 g/cm³
Energy of formation from the pure elements ... -1.650 eV/f.u.

POSCAR file:
```
LaPb2
1.0
-2.0800 1.3089 2.7015
-4.3531 -2.1286 -2.3203
2.8200 -2.8688 3.5611
La Pb
1 2
Cartesian
0.0000 0.0000 0.0000
-0.7456 -1.8830 3.1261
-2.8675 -1.8055 0.8162
```

***

20.
# La2Pb

A PBEsol-optimized structure of La2Pb (meta-GGA SCAN, Alexandria).

Output
Spin magnetization ... 0.0 μB/f.u.
ρ ... 8.8 g/cm³
Energy of formation from the pure elements ... -1.423 eV/f.u.

POSCAR file:
```
La2Pb
1.0
-1.4697 1.7788 4.7853
-2.3197 -4.3136 -2.0579
2.5972 -2.1604 1.6007
La Pb
2 1
Cartesian
-1.2168 -2.9646 0.7283
0.0245 -1.7305 3.5998
0.0000 0.0000 0.0000
```